# SrLiAgHg (PBE-GGA, optimized geometry)
data_SrLiAgHg
_chemical_formula_sum 'Sr4 Li4 Ag4 Hg4'
_symmetry_space_group_name_H-M 'F -4 3 m'
_symmetry_Int_Tables_number 216
_symmetry_space_group_name_Hall 'F -4 2 3'
_cell_length_a 7.470
_cell_length_b 7.470
_cell_length_c 7.470
_cell_angle_alpha 90.00
_cell_angle_beta 90.00
_cell_angle_gamma 90.00
loop_
_atom_site_label
_atom_site_type_symbol
_atom_site_fract_x
_atom_site_fract_y
_atom_site_fract_z
Sr1 Sr 0.000 0.000 0.000
Li1 Li 0.000 0.000 0.500
Ag1 Ag 0.250 0.250 0.750
Hg1 Hg 0.250 0.250 0.250
# - formation enthalpy at 0 K (kJ/mol of formula units) = -102
# - calculated volume (A^3/atom) = 26.1
# - energy (eV per atom) = -1.953